1.
# Ca6In5Pd

A relaxed structure of Ca6In5Pd (PBE, Alexandria via LeMat-Bulk).

a = 5.3287 Å, b = 7.7462 Å, c = 9.2714 Å
α = 65.30°, β = 73.31°, γ = 90.00°
Closest atoms and distances in Å follow each position.
Element x y z (fractional)
In: 0.6773 0.1776 0.6450  8 Ca 3.26-3.36, 2 In 3.62
In: 0.3312 0.3310 0.3378  8 Ca 3.33-3.41, 2 In 3.62
In: 0.0000 0.5000 0.0000  8 Ca 3.23-3.38
In: 0.3227 0.8224 0.3550  8 Ca 3.26-3.36, 2 In 3.62
In: 0.6688 0.6690 0.6622  8 Ca 3.33-3.41, 2 In 3.62
Pd: 0.0000 0.0000 0.0000  8 Ca 3.12-3.21
Ca: 0.5000 0.7688 0.0000  2 Pd 3.21, 6 In 3.36-3.41, 1 Ca 3.58
Ca: 0.1571 0.3960 0.6849  1 Pd 3.12, 7 In 3.23-3.35
Ca: 0.5000 0.2312 0.0000  2 Pd 3.21, 6 In 3.36-3.41, 1 Ca 3.58
Ca: 0.1571 0.9191 0.6849  1 Pd 3.12, 7 In 3.23-3.35
Ca: 0.8429 0.6040 0.3151  1 Pd 3.12, 7 In 3.23-3.35
Ca: 0.8429 0.0809 0.3151  1 Pd 3.12, 7 In 3.23-3.35

Values from the calculation:
As for the symmetry: Immm (71). The calculation puts the formation energy from the elements at -485 meV/atom. The calculated total energy is -3.06 eV per atom.

***

2.
# ZrAl2Co2

A relaxed structure of ZrAl2Co2 (PBE, Alexandria via LeMat-Bulk).

a = 3.9207 Å, b = 3.9207 Å, c = 10.1895 Å
α = 101.09°, β = 101.09°, γ = 90.00°
Closest atoms and distances in Å follow each position.
Element x y z (fractional)
Co: 0.2500 0.7500 0.5000  4 Al 2.33
Co: 0.7500 0.2500 0.5000  4 Al 2.33
Co: 0.0678 0.0678 0.1356  5 Al 2.32-2.37
Co: 0.9322 0.9322 0.8644  5 Al 2.32-2.37
Al: 0.5000 0.0000 0.0000  4 Co 2.37
Al: 0.8140 0.8140 0.6279  5 Co 2.32-2.33
Al: 0.1860 0.1860 0.3721  5 Co 2.32-2.33
Al: 0.0000 0.5000 0.0000  4 Co 2.37
Zr: 0.6368 0.6368 0.2735  4 Al 2.94, 8 Co 2.96-3.08
Zr: 0.3632 0.3632 0.7265  4 Al 2.94, 8 Co 2.96-3.08

Values from the calculation:
As for the symmetry: I4/mmm (139). The calculation puts the formation energy from the elements at -368 meV/atom. The calculated total energy is -6.42 eV per atom. As for the energy above the most stable polymorph in this dataset: 0.19 eV per formula unit.